(1)
SmBPt, optimized geometry, DFT PBE; space group = F-43m
1.0
3.262 0.437 2.974
-0.161 3.258 3.006
-0.746 -0.954 4.267
B Sm Pt
1 1 1
Cartesian
0.589 0.685 2.561
1.766 2.055 7.684
0.000 0.000 0.000

---

(2)
TaSnAs, optimized geometry, DFT PBE; space group = F-43m
1.0
2.314 1.336 3.779
-2.314 1.336 3.779
0.000 -2.672 3.779
As Sn Ta
1 1 1
Cartesian
0.000 0.000 5.669
0.000 0.000 0.000
0.000 0.000 8.504

---

Number 1: total energy -5.620 eV/atom. Number 2: total energy -6.359 eV/atom.